1.
Density functional theory data (PBE) for an optimized crystal structure of Sr2TiInO.

Unit cell a=6.0139 b=6.0139 c=5.1838 alpha=90.00 beta=90.00 gamma=90.00
Each line ends with the local moment (μB).
Sites, in units of the cell vectors:
Sr  0.0000  0.5000  0.0000  0.14
Sr  0.5000  0.0000  0.0000  0.14
Ti  0.0000  0.0000  0.0000  1.90
O  0.5000  0.5000  0.5000  0.63
In  0.0000  0.0000  0.5000  0.12

Results
M_tot (μB/cell): 4.13
Calculated total energy (eV/atom): -3.147
Energy relative to the elements, uncorrected (eV per atom): 0.64

2.
Density functional theory data (PBE) for an optimized crystal structure of Sr12TlIn4O3.

Unit cell a=9.5064 b=9.5064 c=9.5064 alpha=109.47 beta=109.47 gamma=109.47
Sites, in units of the cell vectors:
Sr  0.2500  0.5000  0.7500
Sr  0.7200  0.0000  0.7200
Sr  0.2800  0.0000  0.2800
Sr  0.7500  0.5000  0.2500
Sr  0.7200  0.7200  0.0000
Sr  0.2800  0.2800  0.0000
Sr  0.7500  0.2500  0.5000
Sr  0.2500  0.7500  0.5000
Sr  0.5000  0.2500  0.7500
Sr  0.0000  0.7200  0.7200
Sr  0.5000  0.7500  0.2500
Sr  0.0000  0.2800  0.2800
Tl  0.0000  0.0000  0.0000
In  0.5000  0.5000  0.5000
In  0.0000  0.0000  0.5000
In  0.5000  0.0000  0.0000
In  0.0000  0.5000  0.0000
O  0.5000  0.0000  0.5000
O  0.5000  0.5000  0.0000
O  0.0000  0.5000  0.5000

Results
M_tot (μB/cell): 0.00
Calculated total energy (eV/atom): -3.340
Energy relative to the elements, uncorrected (eV per atom): -0.92

3.
Density functional theory data (PBE) for an optimized crystal structure of SrTmIn4O8.

Unit cell a=6.7278 b=6.7278 c=6.7572 alpha=60.14 beta=60.14 gamma=60.00
Sites, in units of the cell vectors:
Sr  0.3754  0.3754  0.8737
Tm  0.0018  0.0018  0.9945
In  0.6249  0.6249  0.1252
In  0.0012  0.4961  0.5015
In  0.4961  0.0012  0.5015
In  0.0012  0.0012  0.5015
O  0.2326  0.8024  0.7325
O  0.8024  0.2326  0.7325
O  0.2326  0.2326  0.7325
O  0.2317  0.2317  0.3048
O  0.7588  0.2193  0.2632
O  0.2193  0.7588  0.2632
O  0.7588  0.7588  0.2632
O  0.7633  0.7633  0.7102

Results
M_tot (μB/cell): 0.00
Calculated total energy (eV/atom): -6.088
Energy relative to the elements, uncorrected (eV per atom): -2.03